Arrangement 1

10
Lattice="7.2906 0.0000 0.0000 0.0000 7.2906 0.0000 0.0000 0.0000 5.1834" Properties=species:S:1:pos:R:3 comment="Hg2Bi2Pd | Alexandria | PBE-GGA | relaxed" volume_a3_per_cell=276 mass_density_g_cm3=11.2 pbc="T T T"
Hg 1.2077 2.4376 0.0000
Hg 2.4376 6.0829 0.0000
Hg 4.8530 1.2077 0.0000
Hg 6.0829 4.8530 0.0000
Bi 1.1417 4.7870 2.5917
Bi 2.5037 1.1417 2.5917
Bi 4.7870 6.1490 2.5917
Bi 6.1490 2.5037 2.5917
Pd 0.0000 0.0000 2.5917
Pd 3.6453 3.6453 2.5917


Arrangement 2

10
Lattice="7.3012 0.0000 0.0000 0.0000 7.3012 0.0000 0.0000 0.0000 4.8034" Properties=species:S:1:pos:R:3 comment="Hg2Bi2Pd | Alexandria | PBE-GGA | relaxed" volume_a3_per_cell=256 mass_density_g_cm3=12.0 pbc="T T T"
Hg 1.0879 2.5627 0.0000
Hg 2.5627 6.2132 0.0000
Hg 4.7385 1.0879 0.0000
Hg 6.2132 4.7385 0.0000
Bi 1.1833 4.8339 2.4017
Bi 2.4672 1.1833 2.4017
Bi 4.8339 6.1178 2.4017
Bi 6.1178 2.4672 2.4017
Pd 0.0000 0.0000 0.0000
Pd 3.6506 3.6506 0.0000


Arrangement 3

10
Lattice="3.8887 0.0000 0.0000 0.0000 3.8887 0.0000 0.0000 0.0000 18.3458" Properties=species:S:1:pos:R:3 comment="Hg2Bi2Pd | Alexandria | PBE-GGA | relaxed" volume_a3_per_cell=277 mass_density_g_cm3=11.1 pbc="T T T"
Hg 0.0000 1.9443 4.5864
Hg 0.0000 1.9443 13.7593
Hg 1.9443 0.0000 4.5864
Hg 1.9443 0.0000 13.7593
Bi 0.0000 0.0000 1.5298
Bi 0.0000 0.0000 16.8159
Bi 1.9443 1.9443 7.6431
Bi 1.9443 1.9443 10.7027
Pd 0.0000 0.0000 9.1729
Pd 1.9443 1.9443 0.0000


Stability order, top to bottom: arrangement 1, arrangement 3, arrangement 2


Arrangement 1

12
Lattice="5.8340 0.0000 0.0000 0.0000 6.8210 0.0000 0.0000 0.0000 6.7899" Properties=species:S:1:pos:R:3 comment="HgBiPd | Alexandria | PBE-GGA | relaxed" volume_a3_per_cell=270 mass_density_g_cm3=12.7 pbc="T T T"
Hg 1.4585 1.1549 0.0000
Hg 1.4585 2.2555 3.3949
Hg 4.3755 4.5654 3.3949
Hg 4.3755 5.6660 0.0000
Bi 1.4585 4.4648 5.6062
Bi 1.4585 5.7667 2.2113
Bi 4.3755 1.0543 2.2113
Bi 4.3755 2.3562 5.6062
Pd 0.0000 0.0000 4.5676
Pd 0.0000 3.4105 1.1726
Pd 2.9170 0.0000 4.5676
Pd 2.9170 3.4105 1.1726


Arrangement 2

6
Lattice="3.3237 0.0000 0.0000 0.0000 3.3237 0.0000 0.0000 0.0000 12.5611" Properties=species:S:1:pos:R:3 comment="HgBiPd | Alexandria | PBE-GGA | relaxed" volume_a3_per_cell=139 mass_density_g_cm3=12.3 pbc="T T T"
Hg 0.0000 0.0000 0.0000
Hg 1.6619 1.6619 6.2806
Bi 0.0000 0.0000 8.9976
Bi 1.6619 1.6619 2.7171
Pd 0.0000 0.0000 4.4747
Pd 1.6619 1.6619 10.7553


Arrangement 3

3
Lattice="3.5363 0.0000 0.0000 -1.7682 3.0626 0.0000 0.0000 0.0000 6.6524" Properties=species:S:1:pos:R:3 comment="HgBiPd | Alexandria | PBE-GGA | relaxed" volume_a3_per_cell=72 mass_density_g_cm3=11.9 pbc="T T T"
Hg 0.0000 0.0000 0.0000
Bi 0.0000 2.0417 3.9092
Pd 1.7682 1.0209 2.0056


Stability order, top to bottom: arrangement 1, arrangement 2, arrangement 3